## TbSmTe2As2 (PBE)

Data for an optimized crystal structure of TbSmTe2As2.

## Properties
As for the space group: No. 99. As for the total DFT energy (no corrections): -31.9 eV for the cell shown.

a b c (Å): 4.111 4.111 9.171
angles (deg): 90.00 90.00 90.00
Sites, in units of the cell vectors:
Tb 0.000 0.000 0.000
Sm 0.500 0.500 0.492
Te 0.000 0.000 0.368
Te 0.500 0.500 0.118
As 0.000 0.500 0.749
As 0.500 0.000 0.749

=====

## Sm3Te2As (PBE)

Data for an optimized crystal structure of Sm3Te2As.

## Properties
As for the space group: No. 164. As for the total DFT energy (no corrections): -34.0 eV for the cell shown.

a b c (Å): 4.332 4.332 10.893
angles (deg): 90.00 90.00 120.00
Sites, in units of the cell vectors:
Sm 0.000 0.000 0.000
Sm 0.333 0.667 0.643
Sm 0.667 0.333 0.357
Te 0.333 0.667 0.174
Te 0.667 0.333 0.826
As 0.000 0.000 0.500

=====

## Sm4Te3As (PBE)

Data for an optimized crystal structure of Sm4Te3As.

## Properties
As for the space group: No. 65. As for the total DFT energy (no corrections): -44.7 eV for the cell shown.

a b c (Å): 7.642 7.642 4.344
angles (deg): 90.00 90.00 108.97
Sites, in units of the cell vectors:
Sm 0.224 0.224 0.500
Sm 0.234 0.766 0.000
Sm 0.766 0.234 0.000
Sm 0.776 0.776 0.500
Te 0.000 0.500 0.500
Te 0.500 0.000 0.500
Te 0.500 0.500 0.000
As 0.000 0.000 0.000

=====

## Sm3TeAs2 (PBE)

Data for an optimized crystal structure of Sm3TeAs2.

## Properties
As for the space group: No. 164. As for the total DFT energy (no corrections): -35.9 eV for the cell shown.

a b c (Å): 4.267 4.267 10.647
angles (deg): 90.00 90.00 120.00
Sites, in units of the cell vectors:
Sm 0.000 0.000 0.000
Sm 0.333 0.667 0.694
Sm 0.667 0.333 0.306
Te 0.000 0.000 0.500
As 0.333 0.667 0.160
As 0.667 0.333 0.840

=====

## Sm2TeAs (PBE)

Data for an optimized crystal structure of Sm2TeAs.

## Properties
As for the space group: No. 59. As for the total DFT energy (no corrections): -46.6 eV for the cell shown.

a b c (Å): 4.282 6.113 8.797
angles (deg): 90.00 90.00 90.00
Sites, in units of the cell vectors:
Sm 0.250 0.250 0.107
Sm 0.250 0.250 0.659
Sm 0.750 0.750 0.341
Sm 0.750 0.750 0.893
Te 0.250 0.750 0.618
Te 0.750 0.250 0.382
As 0.250 0.750 0.120
As 0.750 0.250 0.880

=====

## SmTlTe3As (PBE)

Data for an optimized crystal structure of SmTlTe3As.

## Properties
As for the space group: No. 63. As for the total DFT energy (no corrections): -48.6 eV for the cell shown.

a b c (Å): 8.457 8.457 11.022
angles (deg): 90.00 90.00 149.51
Sites, in units of the cell vectors:
Sm 0.000 0.000 0.000
Sm 0.000 0.000 0.500
Tl 0.247 0.753 0.750
Tl 0.753 0.247 0.250
Te 0.103 0.897 0.250
Te 0.364 0.636 0.048
Te 0.364 0.636 0.452
Te 0.636 0.364 0.548
Te 0.636 0.364 0.952
Te 0.897 0.103 0.750
As 0.458 0.542 0.250
As 0.542 0.458 0.750

=====

Question: The lowest total DFT energy (no corrections) belongs to which entry?
Answer: SmTlTe3As